No. 1
# IrOF2

A geometry-optimized IrOF2 structure (PBE, the Open Quantum Materials Database).

Results
Space-group type: Pbam (55)
Magnetization (μB/atom): 0.00
Final energy (eV/atom): -5.239

```
IrOF2
1.0
13.430 0.000 0.000
0.000 13.911 0.000
0.000 0.000 3.105
Ir F O
12 24 12
Cartesian
8.857 10.515 1.552 Ir
9.714 0.172 1.552 Ir
2.999 6.784 1.552 Ir
11.797 11.542 0.000 Ir
2.142 10.352 1.552 Ir
4.573 3.397 1.552 Ir
11.288 3.559 1.552 Ir
10.431 7.128 1.552 Ir
1.633 2.369 0.000 Ir
5.082 9.325 0.000 Ir
8.348 4.586 0.000 Ir
3.716 13.740 1.552 Ir
6.447 8.509 1.552 F
1.806 6.142 0.000 F
7.801 3.121 1.552 F
11.624 7.770 0.000 F
2.222 12.334 1.552 F
4.493 5.378 1.552 F
5.629 10.791 1.552 F
1.086 3.835 1.552 F
11.766 5.580 1.552 F
8.379 12.536 1.552 F
0.834 10.318 0.000 F
11.208 1.578 1.552 F
0.268 1.554 1.552 F
5.051 1.376 1.552 F
8.937 8.533 1.552 F
12.596 3.593 0.000 F
12.344 10.077 1.552 F
13.162 12.358 1.552 F
6.983 5.402 1.552 F
1.664 8.332 1.552 F
5.881 3.362 0.000 F
8.521 0.814 0.000 F
7.549 10.549 0.000 F
4.909 13.098 0.000 F
4.089 7.174 0.000 O
10.806 11.927 1.552 O
9.341 6.737 0.000 O
3.322 10.600 0.000 O
4.091 8.940 1.552 O
10.804 13.693 0.000 O
2.626 0.218 0.000 O
3.393 3.644 0.000 O
10.037 10.268 0.000 O
2.624 1.984 1.552 O
9.339 4.971 1.552 O
10.108 3.312 0.000 O
```



No. 2
# ScCdSn2

A geometry-optimized ScCdSn2 structure (PBE, the Open Quantum Materials Database).

Results
Space-group type: F-43m (216)
Magnetization (μB/atom): 0.03
Final energy (eV/atom): -3.863

```
ScCdSn2
1.0
0.000 3.678 3.678
3.678 0.000 3.678
3.678 3.678 0.000
Cd Sc Sn
1 1 2
Cartesian
3.678 3.678 3.678 Cd
5.517 5.517 5.517 Sc
1.839 1.839 1.839 Sn
0.000 0.000 0.000 Sn
```



No. 3
# Tb3In5

A geometry-optimized Tb3In5 structure (PBE, the Open Quantum Materials Database).

Results
Space-group type: Cmcm (63)
Magnetization (μB/atom): 0.00
Final energy (eV/atom): -3.924

```
Tb3In5
1.0
4.964 -4.033 0.000
4.964 4.033 0.000
0.000 0.000 10.361
In Tb
10 6
Cartesian
4.964 1.561 5.639 In
4.964 3.988 7.770 In
7.120 -1.701 2.590 In
2.807 -1.701 2.590 In
4.964 -1.561 4.721 In
4.964 1.561 9.902 In
2.807 1.701 7.770 In
4.964 -3.988 2.590 In
4.964 -1.561 0.459 In
7.120 1.701 7.770 In
4.964 -0.961 7.770 Tb
7.892 0.000 5.180 Tb
4.964 0.961 2.590 Tb
2.036 0.000 5.180 Tb
7.892 0.000 0.000 Tb
2.036 0.000 0.000 Tb
```



No. 4
# Nd2CuNiGe4

A geometry-optimized Nd2CuNiGe4 structure (PBE, the Open Quantum Materials Database).

Results
Space-group type: Amm2 (38)
Magnetization (μB/atom): 0.00
Final energy (eV/atom): -5.331

```
Nd2CuNiGe4
1.0
4.262 0.000 0.000
0.000 2.136 8.504
0.000 -2.136 8.504
Ge Ni Cu Nd
4 1 1 2
Cartesian
0.000 0.000 9.141 Ge
0.000 0.000 4.309 Ge
2.131 0.000 12.814 Ge
2.131 0.000 7.756 Ge
2.131 0.000 5.412 Ni
0.000 0.000 11.504 Cu
2.131 0.000 1.859 Nd
0.000 0.000 15.238 Nd
```



No. 5
# SrUS2

A geometry-optimized SrUS2 structure (PBE, the Open Quantum Materials Database).

Results
Space-group type: P3m1 (156)
Magnetization (μB/atom): 0.59
Final energy (eV/atom): -6.676

```
SrUS2
1.0
-3.789 -0.698 -1.036
2.976 -1.598 -2.123
-0.097 -6.243 4.563
Sr S U
1 2 1
Cartesian
-0.042 -2.727 1.993 Sr
-0.078 -5.031 3.677 S
0.701 -2.560 -0.839 S
-1.631 -7.229 3.155 U
```



No. 6
# UBeFe

A geometry-optimized UBeFe structure (PBE, the Open Quantum Materials Database).

Results
Space-group type: F-43m (216)
Magnetization (μB/atom): 0.57
Final energy (eV/atom): -7.178

```
UBeFe
1.0
-1.294 -1.389 3.532
-3.085 1.778 1.845
-3.539 -1.871 0.244
Be U Fe
1 1 1
Cartesian
0.000 0.000 0.000 Be
-5.938 -1.112 4.216 U
-1.979 -0.371 1.405 Fe
```



No. 7
# Ga2PtI2Br4Cl2

A geometry-optimized Ga2PtI2Br4Cl2 structure (PBE, the Open Quantum Materials Database).

Results
Space-group type: C2/m (12)
Magnetization (μB/atom): 0.00
Final energy (eV/atom): -2.968

```
Ga2PtI2Br4Cl2
1.0
-3.649 5.986 -3.453
-5.250 3.271 4.776
6.311 4.014 2.552
Cl Br Pt I Ga
2 4 1 2 2
Cartesian
-1.020 8.616 2.644 Cl
-1.567 4.655 1.231 Cl
-4.033 7.133 -1.313 Br
-5.011 5.475 3.714 Br
1.446 6.138 5.189 Br
2.424 7.796 0.162 Br
0.000 0.000 0.000 Pt
2.384 4.211 1.853 I
-4.971 9.061 2.022 I
0.142 3.355 1.135 Ga
-2.729 9.916 2.741 Ga
```



No. 8
# PaNbHg

A geometry-optimized PaNbHg structure (PBE, the Open Quantum Materials Database).

Results
Space-group type: F-43m (216)
Magnetization (μB/atom): 0.00
Formation energy (meV/atom): 749.6

```
PaNbHg
1.0
-3.054 3.020 1.973
-1.907 3.463 -2.591
-4.577 -0.168 -1.167
Nb Pa Hg
1 1 1
Cartesian
0.000 0.000 0.000 Nb
-7.153 4.736 -1.339 Pa
-2.384 1.579 -0.446 Hg
```